[1]
Density functional theory data (PBE) for a geometry-optimized Ba2Na5 structure.

Values from the calculation:
- DOS(E_F) (states/eV/f.u.) = 5.3
- energy of formation (eV per atom) = 0.005
- magnetic moment (μB per formula unit) = 0.000

Cell: 7.540 10.155 10.455 Å, 119.05 111.14 90.00°
Positions (direct):
Na (0.038, 0.288, 0.575)
Ba (0.588, 0.252, 0.177)
Ba (0.912, 0.075, 0.823)
Na (0.538, 0.288, 0.575)
Ba (0.412, 0.748, 0.823)
Na (0.658, 0.932, 0.316)
Na (0.462, 0.712, 0.425)
Na (0.158, 0.384, 0.316)
Na (0.842, 0.616, 0.684)
Na (0.342, 0.068, 0.684)
Ba (0.088, 0.925, 0.177)
Na (0.250, 0.500, 0.000)
Na (0.750, 0.500, 0.000)
Na (0.962, 0.712, 0.425)


[2]
Density functional theory data (PBE) for a geometry-optimized YbIn5Co structure.

Values from the calculation:
- DOS(E_F) (states/eV/f.u.) = 3.0
- energy of formation (eV per atom) = -0.216
- magnetic moment (μB per formula unit) = 0.000

Cell: 4.581 4.581 7.561 Å, 90.00 90.00 90.00°
Positions (direct):
Yb (0.000, 0.000, 0.000)
In (0.500, 0.500, 0.000)
In (0.500, 0.000, 0.306)
Co (0.000, 0.000, 0.500)
In (0.000, 0.500, 0.306)
In (0.500, 0.000, 0.694)
In (0.000, 0.500, 0.694)


[3]
Density functional theory data (PBE) for a geometry-optimized ScAl2Pb structure.

Values from the calculation:
- DOS(E_F) (states/eV/f.u.) = 3.3
- energy of formation (eV per atom) = 0.039
- magnetic moment (μB per formula unit) = 0.000

Cell: 9.323 9.323 9.323 Å, 20.81 20.81 20.81°
Positions (direct):
Al (0.996, 0.996, 0.996)
Pb (0.504, 0.504, 0.504)
Sc (0.745, 0.745, 0.745)
Al (0.256, 0.256, 0.256)


[4]
Density functional theory data (PBE) for a geometry-optimized PmHfSb2 structure.

Values from the calculation:
- polymorph energy (0 for the lowest one) (meV/atom) = 290
- DOS(E_F) (states/eV/f.u.) = 4.0
- magnetic moment (μB per formula unit) = 0.922

Cell: 5.244 5.244 5.244 Å, 60.00 60.00 60.00°
Each line ends with the local moment (μB).
Positions (direct):
Sb (0.250, 0.250, 0.250)  -0.01
Hf (0.500, 0.500, 0.500)  0.39
Sb (0.750, 0.750, 0.750)  -0.01
Pm (0.000, 0.000, 0.000)  0.16


[5]
Density functional theory data (PBE) for a geometry-optimized OsAu2Br6 structure.

Values from the calculation:
- total DFT energy (no corrections) (eV per formula unit) = -28.58
- DOS(E_F) (states/eV/f.u.) = 3.9
- magnetic moment (μB per formula unit) = 2.007

Cell: 6.346 10.157 10.157 Å, 93.44 91.93 91.93°
Each line ends with the local moment (μB).
Positions (direct):
Br (0.408, 0.960, 0.842)  0.06
Br (0.592, 0.040, 0.158)  0.06
Os (0.750, 0.068, 0.932)  1.25
Os (0.250, 0.932, 0.068)  1.25
Br (0.115, 0.930, 0.289)  0.16
Br (0.092, 0.158, 0.040)  0.06
Br (0.030, 0.492, 0.747)  0.01
Br (0.908, 0.842, 0.960)  0.06
Br (0.385, 0.711, 0.070)  0.16
Br (0.615, 0.289, 0.930)  0.16
Br (0.470, 0.253, 0.508)  0.01
Br (0.885, 0.070, 0.711)  0.16
Au (0.277, 0.612, 0.611)  0.01
Br (0.530, 0.747, 0.492)  0.01
Au (0.223, 0.389, 0.388)  0.01
Au (0.723, 0.388, 0.389)  0.01
Br (0.970, 0.508, 0.253)  0.01
Au (0.777, 0.611, 0.612)  0.01


[6]
Density functional theory data (PBE) for a geometry-optimized Ba3Pt8Pb structure.

Values from the calculation:
- DOS(E_F) (states/eV/f.u.) = 6.0
- energy of formation (eV per atom) = -0.608
- magnetic moment (μB per formula unit) = 0.000

Cell: 5.668 5.668 9.758 Å, 73.12 73.12 60.00°
Positions (direct):
Ba (0.375, 0.375, 0.874)
Pt (0.688, 0.688, 0.937)
Ba (0.998, 0.998, 0.006)
Ba (0.501, 0.501, 0.496)
Pt (0.437, 0.437, 0.192)
Pt (0.437, 0.935, 0.192)
Pt (0.188, 0.188, 0.435)
Pt (0.938, 0.938, 0.681)
Pt (0.442, 0.938, 0.681)
Pb (0.872, 0.872, 0.383)
Pt (0.938, 0.442, 0.681)
Pt (0.935, 0.437, 0.192)


[7]
Density functional theory data (PBE) for a geometry-optimized CeMo2N structure.

Values from the calculation:
- total DFT energy (no corrections) (eV per formula unit) = -34.87
- DOS(E_F) (states/eV/f.u.) = 6.2
- magnetic moment (μB per formula unit) = 0.000

Cell: 3.200 3.200 7.800 Å, 78.16 78.16 60.00°
Positions (direct):
Mo (0.878, 0.878, 0.365)
Mo (0.122, 0.122, 0.635)
N (0.500, 0.500, 0.500)
Ce (0.000, 0.000, 0.000)


[8]
Density functional theory data (PBE) for a geometry-optimized VCoSn structure.

Values from the calculation:
- DOS(E_F) (states/eV/f.u.) = 2.1
- energy of formation (eV per atom) = 0.075
- magnetic moment (μB per formula unit) = 0.000

Cell: 2.977 2.977 5.526 Å, 105.63 105.63 90.00°
Positions (direct):
Sn (0.611, 0.611, 0.222)
Co (0.929, 0.929, 0.858)
V (0.310, 0.310, 0.620)


[9]
Density functional theory data (PBE) for a geometry-optimized TiNiBr3 structure.

Values from the calculation:
- polymorph energy (0 for the lowest one) (meV/atom) = 0
- DOS(E_F) (states/eV/f.u.) = 23.3
- magnetic moment (μB per formula unit) = 0.097

Cell: 5.089 5.089 5.089 Å, 90.00 90.00 90.00°
Positions (direct):
Ti (0.000, 0.000, 0.000)
Br (0.500, 0.000, 0.000)
Br (0.000, 0.500, 0.000)
Ni (0.500, 0.500, 0.500)
Br (0.000, 0.000, 0.500)


[10]
Density functional theory data (PBE) for a geometry-optimized ZrCrBrN2 structure.

Values from the calculation:
- polymorph energy (0 for the lowest one) (meV/atom) = 0
- DOS(E_F) (states/eV/f.u.) = 5.2
- magnetic moment (μB per formula unit) = 0.000

Cell: 3.761 5.326 3.761 Å, 90.00 90.00 90.00°
Positions (direct):
Cr (0.000, 0.000, 0.000)
N (0.500, 0.000, 0.000)
Zr (0.000, 0.500, 0.000)
Br (0.500, 0.500, 0.500)
N (0.000, 0.000, 0.500)


[11]
Density functional theory data (PBE) for a geometry-optimized DyZnGa4 structure.

Values from the calculation:
- polymorph energy (0 for the lowest one) (meV/atom) = 0
- DOS(E_F) (states/eV/f.u.) = 1.7
- energy of formation (eV per atom) = -0.327
- magnetic moment (μB per formula unit) = 0.000

Cell: 4.222 5.652 10.481 Å, 78.26 89.94 111.57°
Positions (direct):
Ga (0.477, 0.453, 0.685)
Ga (0.977, 0.453, 0.185)
Ga (0.313, 0.129, 0.524)
Ga (0.023, 0.547, 0.815)
Ga (0.813, 0.129, 0.024)
Ga (0.687, 0.871, 0.476)
Dy (0.250, 0.000, 0.250)
Zn (0.500, 0.500, 0.000)
Zn (0.000, 0.500, 0.500)
Dy (0.750, 0.000, 0.750)
Ga (0.187, 0.871, 0.976)
Ga (0.523, 0.547, 0.315)


[12]
Density functional theory data (PBE) for a geometry-optimized TbSmPt4 structure.

Values from the calculation:
- DOS(E_F) (states/eV/f.u.) = 1.1
- energy of formation (eV per atom) = -1.106
- magnetic moment (μB per formula unit) = 0.000

Cell: 5.465 5.465 5.465 Å, 60.00 60.00 60.00°
Positions (direct):
Pt (0.625, 0.126, 0.625)
Pt (0.625, 0.625, 0.126)
Pt (0.126, 0.625, 0.625)
Pt (0.625, 0.625, 0.625)
Sm (0.000, 0.000, 0.000)
Tb (0.250, 0.250, 0.250)